Record 1
Density functional theory data (PBE-GGA) for a relaxed Na8Tl6Sn crystal.

The value obtained for the calculated total energy is -1.990 eV per atom. Its energy above the most stable polymorph in this dataset is 0.09 eV per formula unit.

Lattice parameters (Å, degrees): 8.487 8.487 8.487 65.41 65.41 65.41
Atoms (fractional coordinates):
Na1 0.054 0.711 0.383
Na2 0.168 0.168 0.168
Na3 0.289 0.617 0.946
Na4 0.383 0.054 0.711
Na5 0.617 0.946 0.289
Na6 0.711 0.383 0.054
Na7 0.832 0.832 0.832
Na8 0.946 0.289 0.617
Tl1 0.126 0.450 0.777
Tl2 0.223 0.874 0.550
Tl3 0.450 0.777 0.126
Tl4 0.550 0.223 0.874
Tl5 0.777 0.126 0.450
Tl6 0.874 0.550 0.223
Sn1 0.500 0.500 0.500

***

Record 2
Density functional theory data (PBE-GGA) for a relaxed Na2TlSn crystal.

The value obtained for the calculated total energy is -2.223 eV per atom.

Lattice parameters (Å, degrees): 6.956 6.956 6.956 102.08 102.08 125.55
Atoms (fractional coordinates):
Na1 0.122 0.625 0.997
Na2 0.375 0.372 0.497
Na3 0.628 0.125 0.003
Na4 0.875 0.878 0.503
Tl1 0.250 0.750 0.500
Tl2 0.500 0.500 0.000
Sn1 0.000 0.000 0.000
Sn2 0.750 0.250 0.500

***

Record 3
Density functional theory data (PBE-GGA) for a relaxed NaTl2Sn crystal.

The value obtained for the calculated total energy is -2.482 eV per atom.

Lattice parameters (Å, degrees): 7.370 7.370 7.370 154.31 133.45 53.93
Atoms (fractional coordinates):
Na1 0.000 0.000 0.000
Tl1 0.267 0.267 0.000
Tl2 0.733 0.733 0.000
Sn1 0.500 0.500 0.000

***

Record 4
Density functional theory data (PBE-GGA) for a relaxed Na2Tl7Sn2 crystal.

The value obtained for the calculated total energy is -2.491 eV per atom. Its energy above the most stable polymorph in this dataset is 0.32 eV per formula unit.

Lattice parameters (Å, degrees): 7.267 7.267 6.927 105.12 105.12 86.11
Atoms (fractional coordinates):
Na1 0.199 0.801 0.000
Na2 0.801 0.199 0.000
Tl1 0.000 0.000 0.500
Tl2 0.093 0.544 0.328
Tl3 0.432 0.432 0.703
Tl4 0.456 0.907 0.672
Tl5 0.544 0.093 0.328
Tl6 0.568 0.568 0.297
Tl7 0.907 0.456 0.672
Sn1 0.250 0.250 0.976
Sn2 0.750 0.750 0.024

***

Record 5
Density functional theory data (PBE-GGA) for a relaxed Na3Tl5Sn2 crystal.

The value obtained for the calculated total energy is -2.369 eV per atom. Its energy above the most stable polymorph in this dataset is 0.76 eV per formula unit.

Lattice parameters (Å, degrees): 10.418 10.418 10.418 100.95 91.24 142.04
Atoms (fractional coordinates):
Na1 0.232 0.124 0.356
Na2 0.250 0.250 0.000
Na3 0.268 0.624 0.892
Na4 0.732 0.376 0.108
Na5 0.750 0.750 0.000
Na6 0.768 0.876 0.644
Tl1 0.151 0.375 0.525
Tl2 0.250 0.004 0.754
Tl3 0.250 0.496 0.246
Tl4 0.250 0.750 0.500
Tl5 0.349 0.875 0.224
Tl6 0.651 0.125 0.776
Tl7 0.750 0.250 0.500
Tl8 0.750 0.504 0.754
Tl9 0.750 0.996 0.246
Tl10 0.849 0.625 0.475
Sn1 0.147 0.868 0.014
Sn2 0.353 0.368 0.721
Sn3 0.647 0.632 0.279
Sn4 0.853 0.132 0.986

***

Record 6
Density functional theory data (PBE-GGA) for a relaxed Na2Tl8Sn crystal.

The value obtained for the calculated total energy is -2.376 eV per atom. Its energy above the most stable polymorph in this dataset is 0.00 eV per formula unit.

Lattice parameters (Å, degrees): 9.174 9.174 7.738 103.45 103.45 30.50
Atoms (fractional coordinates):
Na1 0.136 0.136 0.179
Na2 0.864 0.864 0.821
Tl1 0.043 0.043 0.732
Tl2 0.226 0.226 0.636
Tl3 0.320 0.320 0.087
Tl4 0.409 0.409 0.550
Tl5 0.591 0.591 0.450
Tl6 0.680 0.680 0.913
Tl7 0.774 0.774 0.364
Tl8 0.957 0.957 0.268
Sn1 0.500 0.500 0.000

***

Record 7
Density functional theory data (PBE-GGA) for a relaxed NaTl6Sn crystal.

The value obtained for the calculated total energy is -2.444 eV per atom. Its energy above the most stable polymorph in this dataset is 0.15 eV per formula unit.

Lattice parameters (Å, degrees): 6.868 6.868 6.868 109.91 109.91 109.91
Atoms (fractional coordinates):
Na1 0.000 0.000 0.000
Tl1 0.251 0.251 0.744
Tl2 0.251 0.744 0.251
Tl3 0.256 0.749 0.749
Tl4 0.744 0.251 0.251
Tl5 0.749 0.256 0.749
Tl6 0.749 0.749 0.256
Sn1 0.500 0.500 0.500

***

Record 8
Density functional theory data (PBE-GGA) for a relaxed Na5Tl2Sn crystal.

The value obtained for the calculated total energy is -2.028 eV per atom. Its energy above the most stable polymorph in this dataset is 0.00 eV per formula unit.

Lattice parameters (Å, degrees): 8.184 8.184 8.184 139.69 139.69 58.32
Atoms (fractional coordinates):
Na1 0.000 0.000 0.000
Na2 0.126 0.626 0.500
Na3 0.374 0.874 0.500
Na4 0.626 0.126 0.500
Na5 0.874 0.374 0.500
Tl1 0.260 0.260 0.000
Tl2 0.740 0.740 0.000
Sn1 0.500 0.500 0.000

***

Number 1: formation energy -73 meV per atom. Number 2: formation energy 29 meV per atom. Number 3: formation energy 31 meV per atom. Number 4: formation energy -18 meV per atom. Number 5: formation energy 10 meV per atom. Number 6: formation energy -51 meV per atom. Number 7: formation energy -4 meV per atom. Number 8: formation energy -112 meV per atom.